The following is a DFT calculation (PBE) of a relaxed structure of YZnRu3.

CIF file:
```
data_YZnRu3
_symmetry_space_group_name_H-M 'P m -3 m'
_symmetry_Int_Tables_number 221
_symmetry_space_group_name_Hall '-P 4 2 3'
_cell_length_a 4.5653
_cell_length_b 4.5653
_cell_length_c 4.5653
_cell_angle_alpha 90.00
_cell_angle_beta 90.00
_cell_angle_gamma 90.00
loop_
_atom_site_label
_atom_site_type_symbol
_atom_site_fract_x
_atom_site_fract_y
_atom_site_fract_z
Y1 Y 0.0000 0.0000 0.0000
Zn1 Zn 0.5000 0.5000 0.5000
Ru1 Ru 0.0000 0.5000 0.5000
```

Values from the calculation:
Its density is 8.0 g/cm³. Its energy above the most stable polymorph in this dataset is 0.000 eV per atom. The energy of formation from the pure elements comes out at 0.8118 eV/atom.